Material: Ca3EuPd
Method: DFT, PBE-GGA
State: optimized geometry

Computed properties:
SG: Pm-3m, No. 221
Crystal system: cubic
DFT total energy, eV per cell: -22.902

Lattice parameters (Å, degrees): 5.712 5.712 5.712 90.00 90.00 90.00
Fractional positions:
Ca1 0.000 0.000 0.500
Ca2 0.000 0.500 0.000
Ca3 0.500 0.000 0.000
Eu1 0.500 0.500 0.500
Pd1 0.000 0.000 0.000

=====

Material: Li2PmPd7
Method: DFT, PBE-GGA
State: optimized geometry

Computed properties:
SG: Cmmm, No. 65
Crystal system: orthorhombic
DFT total energy, eV per cell: -45.531

Lattice parameters (Å, degrees): 6.931 6.931 4.420 90.00 90.00 118.02
Fractional positions:
Li1 0.215 0.785 0.000
Li2 0.785 0.215 0.000
Pm1 0.500 0.500 0.500
Pd1 0.000 0.000 0.000
Pd2 0.122 0.878 0.500
Pd3 0.186 0.428 0.000
Pd4 0.428 0.186 0.000
Pd5 0.572 0.814 0.000
Pd6 0.814 0.572 0.000
Pd7 0.878 0.122 0.500

=====

Material: NbSb2S
Method: DFT, PBE-GGA
State: optimized geometry

Computed properties:
SG: I-42d, No. 122
Formation energy from raw total energies, meV per atom: 542
Crystal system: tetragonal

Lattice parameters (Å, degrees): 6.311 6.311 12.448 90.00 90.00 90.00
Fractional positions:
Nb1 0.000 0.000 0.000
Nb2 0.000 0.500 0.250
Nb3 0.500 0.000 0.750
Nb4 0.500 0.500 0.500
Sb1 0.242 0.250 0.125
Sb2 0.250 0.742 0.375
Sb3 0.250 0.758 0.875
Sb4 0.258 0.250 0.625
Sb5 0.742 0.750 0.625
Sb6 0.750 0.242 0.875
Sb7 0.750 0.258 0.375
Sb8 0.758 0.750 0.125
S1 0.000 0.000 0.500
S2 0.000 0.500 0.750
S3 0.500 0.000 0.250
S4 0.500 0.500 0.000

=====

Material: KCd2
Method: DFT, PBE-GGA
State: optimized geometry

Computed properties:
SG: I4/mcm, No. 140
Crystal system: tetragonal
DFT total energy, eV per cell: -12.236

Lattice parameters (Å, degrees): 5.731 5.731 12.482 90.00 90.00 90.00
Fractional positions:
K1 0.000 0.000 0.250
K2 0.000 0.000 0.750
K3 0.500 0.500 0.250
K4 0.500 0.500 0.750
Cd1 0.180 0.320 0.000
Cd2 0.180 0.680 0.500
Cd3 0.320 0.180 0.500
Cd4 0.320 0.820 0.000
Cd5 0.680 0.180 0.000
Cd6 0.680 0.820 0.500
Cd7 0.820 0.320 0.500
Cd8 0.820 0.680 0.000

=====

Material: CoHN2
Method: DFT, PBE-GGA
State: optimized geometry

Computed properties:
SG: Fm-3m, No. 225
Crystal system: cubic
Distance to the lowest polymorph of the same formula, meV per atom: 967.6

Lattice parameters (Å, degrees): 4.714 4.714 4.714 90.00 90.00 90.00
Fractional positions:
Co1 0.000 0.000 0.000
Co2 0.000 0.500 0.500
Co3 0.500 0.000 0.500
Co4 0.500 0.500 0.000
H1 0.000 0.000 0.500
H2 0.000 0.500 0.000
H3 0.500 0.000 0.000
H4 0.500 0.500 0.500
N1 0.250 0.250 0.250
N2 0.250 0.250 0.750
N3 0.250 0.750 0.250
N4 0.250 0.750 0.750
N5 0.750 0.250 0.250
N6 0.750 0.250 0.750
N7 0.750 0.750 0.250
N8 0.750 0.750 0.750

=====

Material: YAlMo2
Method: DFT, PBE-GGA
State: optimized geometry

Computed properties:
SG: P4mm, No. 99
Crystal system: tetragonal
DFT total energy, eV per cell: -32.202

Lattice parameters (Å, degrees): 3.279 3.279 7.036 90.00 90.00 90.00
Fractional positions:
Y1 0.000 0.000 0.000
Al1 0.500 0.500 0.311
Mo1 0.000 0.000 0.522
Mo2 0.500 0.500 0.715

=====

Material: Tb8Cu2Te
Method: DFT, PBE-GGA
State: optimized geometry

Computed properties:
SG: C2/m, No. 12
Formation energy from raw total energies, meV per atom: -173
Crystal system: monoclinic

Lattice parameters (Å, degrees): 7.910 7.910 5.588 98.26 98.26 114.52
Fractional positions:
Tb1 0.080 0.327 0.600
Tb2 0.244 0.756 0.000
Tb3 0.327 0.080 0.600
Tb4 0.398 0.398 0.201
Tb5 0.602 0.602 0.799
Tb6 0.673 0.920 0.400
Tb7 0.756 0.244 0.000
Tb8 0.920 0.673 0.400
Cu1 0.305 0.695 0.500
Cu2 0.695 0.305 0.500
Te1 0.000 0.000 0.000

=====

Material: Ho2Co2B2C
Method: DFT, PBE-GGA
State: optimized geometry

Computed properties:
SG: C2/m, No. 12
Crystal system: monoclinic
DFT total energy, eV per cell: -98.104

Lattice parameters (Å, degrees): 10.117 3.537 6.300 90.00 126.01 90.00
Fractional positions:
Ho1 0.062 0.000 0.317
Ho2 0.438 0.500 0.683
Ho3 0.562 0.500 0.317
Ho4 0.938 0.000 0.683
Co1 0.205 0.500 0.093
Co2 0.295 0.000 0.907
Co3 0.705 0.000 0.093
Co4 0.795 0.500 0.907
B1 0.188 0.500 0.752
B2 0.312 0.000 0.248
B3 0.688 0.000 0.752
B4 0.812 0.500 0.248
C1 0.000 0.500 0.000
C2 0.500 0.000 0.000

=====

Material: NaVSb2
Method: DFT, PBE-GGA
State: optimized geometry

Computed properties:
SG: R-3m, No. 166
Formation energy from raw total energies, meV per atom: -31
Crystal system: trigonal
Distance to the lowest polymorph of the same formula, meV per atom: 87.4

Lattice parameters (Å, degrees): 3.439 3.439 29.591 90.00 90.00 120.00
Fractional positions:
Na1 0.000 0.000 0.000
Na2 0.333 0.667 0.667
Na3 0.667 0.333 0.333
V1 0.000 0.000 0.500
V2 0.333 0.667 0.167
V3 0.667 0.333 0.833
Sb1 0.000 0.000 0.104
Sb2 0.000 0.000 0.896
Sb3 0.333 0.667 0.563
Sb4 0.333 0.667 0.770
Sb5 0.667 0.333 0.230
Sb6 0.667 0.333 0.437

=====

Material: Tb3PrSm3Te8
Method: DFT, PBE-GGA
State: optimized geometry

Computed properties:
SG: R-3m, No. 166
Formation energy from raw total energies, meV per atom: -1416
Crystal system: trigonal

Lattice parameters (Å, degrees): 8.794 8.794 8.794 60.00 60.00 60.00
Fractional positions:
Tb1 0.000 0.500 0.500
Tb2 0.500 0.000 0.500
Tb3 0.500 0.500 0.000
Pr1 0.000 0.000 0.000
Sm1 0.000 0.000 0.500
Sm2 0.000 0.500 0.000
Sm3 0.500 0.000 0.000
Te1 0.252 0.252 0.252
Te2 0.261 0.261 0.736
Te3 0.261 0.736 0.261
Te4 0.264 0.739 0.739
Te5 0.736 0.261 0.261
Te6 0.739 0.264 0.739
Te7 0.739 0.739 0.264
Te8 0.748 0.748 0.748

=====

Material: Hf2MoCl
Method: DFT, PBE-GGA
State: optimized geometry

Computed properties:
SG: Fm-3m, No. 225
Formation energy from raw total energies, meV per atom: 307
Crystal system: cubic
Distance to the lowest polymorph of the same formula, meV per atom: 0.0

Lattice parameters (Å, degrees): 6.731 6.731 6.731 90.00 90.00 90.00
Fractional positions:
Hf1 0.250 0.250 0.250
Hf2 0.250 0.250 0.750
Hf3 0.250 0.750 0.250
Hf4 0.250 0.750 0.750
Hf5 0.750 0.250 0.250
Hf6 0.750 0.250 0.750
Hf7 0.750 0.750 0.250
Hf8 0.750 0.750 0.750
Mo1 0.000 0.000 0.000
Mo2 0.000 0.500 0.500
Mo3 0.500 0.000 0.500
Mo4 0.500 0.500 0.000
Cl1 0.000 0.000 0.500
Cl2 0.000 0.500 0.000
Cl3 0.500 0.000 0.000
Cl4 0.500 0.500 0.500

=====

Material: TiGe2F
Method: DFT, PBE-GGA
State: optimized geometry

Computed properties:
SG: Fm-3m, No. 225
Formation energy from raw total energies, meV per atom: -272
Crystal system: cubic
Distance to the lowest polymorph of the same formula, meV per atom: 143.7

Lattice parameters (Å, degrees): 6.367 6.367 6.367 90.00 90.00 90.00
Fractional positions:
Ti1 0.000 0.000 0.000
Ti2 0.000 0.500 0.500
Ti3 0.500 0.000 0.500
Ti4 0.500 0.500 0.000
Ge1 0.250 0.250 0.250
Ge2 0.250 0.250 0.750
Ge3 0.250 0.750 0.250
Ge4 0.250 0.750 0.750
Ge5 0.750 0.250 0.250
Ge6 0.750 0.250 0.750
Ge7 0.750 0.750 0.250
Ge8 0.750 0.750 0.750
F1 0.000 0.000 0.500
F2 0.000 0.500 0.000
F3 0.500 0.000 0.000
F4 0.500 0.500 0.500